SrLiTbHg: optimized geometry, PBE.

Structure (POSCAR):
```
SrLiTbHg
1.0
5.451 0.000 0.000
2.725 4.721 0.000
2.725 1.574 4.451
Li Tb Hg Sr
1 1 1 1
direct
0.000 0.000 0.000 Li
0.750 0.750 0.750 Tb
0.500 0.500 0.500 Hg
0.250 0.250 0.250 Sr
```

Values from the calculation:
DOS at the Fermi energy	3.004	states/eV/cell
calculated total energy	-2.303	eV/atom
E_form	-66	kJ/mol of formula units


LaYH2: optimized geometry, PBE.

Structure (POSCAR):
```
LaYH2
1.0
-1.673 3.141 -4.055
-4.731 0.703 2.496
-1.247 6.193 1.723
La Y H
2 2 4
direct
0.750 0.250 0.500 La
0.000 0.000 0.000 La
0.250 0.750 0.500 Y
0.500 0.500 0.000 Y
0.375 0.398 0.750 H
0.148 0.625 0.250 H
0.602 0.125 0.250 H
0.875 0.852 0.750 H
```

Values from the calculation:
DOS at the Fermi energy	6.032	states/eV/cell
calculated total energy	-4.889	eV/atom
energy relative to the lowest polymorph listed for this composition	0.585	kcal/mol of atoms


KBaBe2Tc: optimized geometry, PBE.

Structure (POSCAR):
```
KBaBe2Tc
1.0
4.741 0.000 0.000
0.000 5.410 0.000
0.000 0.000 4.741
Be K Tc Ba
2 1 1 1
direct
0.500 0.000 0.000 Be
0.000 0.000 0.500 Be
0.500 0.500 0.500 K
0.000 0.000 0.000 Tc
0.000 0.500 0.000 Ba
```

Values from the calculation:
DOS at the Fermi energy	1.492	states/eV/cell
calculated total energy	-3.385	eV/atom
E_form	377	kJ/mol of formula units